[1]
PaPbAu2: relaxed, PBE-GGA.

Calculated values
Relative energy among the computed polymorphs (eV/atom): 0.0534

The structure in CIF format:
```
data_PaPbAu2
_symmetry_space_group_name_H-M 'P 4/m m m'
_symmetry_Int_Tables_number 123
_symmetry_space_group_name_Hall '-P 4 2'
_cell_length_a 3.508
_cell_length_b 3.508
_cell_length_c 7.737
_cell_angle_alpha 90.00
_cell_angle_beta 90.00
_cell_angle_gamma 90.00
loop_
_atom_site_label
_atom_site_type_symbol
_atom_site_fract_x
_atom_site_fract_y
_atom_site_fract_z
Pa1 Pa 0.000 0.000 0.000
Pb1 Pb 0.000 0.000 0.500
Au1 Au 0.500 0.500 0.236
```


[2]
PaPbAu2: relaxed, PBE-GGA.

Calculated values
Relative energy among the computed polymorphs (eV/atom): 0.0000

The structure in CIF format:
```
data_PaPbAu2
_symmetry_space_group_name_H-M 'F m -3 m'
_symmetry_Int_Tables_number 225
_symmetry_space_group_name_Hall '-F 4 2 3'
_cell_length_a 7.162
_cell_length_b 7.162
_cell_length_c 7.162
_cell_angle_alpha 90.00
_cell_angle_beta 90.00
_cell_angle_gamma 90.00
loop_
_atom_site_label
_atom_site_type_symbol
_atom_site_fract_x
_atom_site_fract_y
_atom_site_fract_z
Pa1 Pa 0.000 0.000 0.000
Pb1 Pb 0.000 0.000 0.500
Au1 Au 0.250 0.250 0.250
```


[3]
PaPbAu: relaxed, PBE-GGA.

The structure in CIF format:
```
data_PaPbAu
_symmetry_space_group_name_H-M 'P 3 m 1'
_symmetry_Int_Tables_number 156
_symmetry_space_group_name_Hall 'P 3 -2"'
_cell_length_a 4.6230
_cell_length_b 4.6230
_cell_length_c 4.1702
_cell_angle_alpha 90.00
_cell_angle_beta 90.00
_cell_angle_gamma 120.00
loop_
_atom_site_label
_atom_site_type_symbol
_atom_site_fract_x
_atom_site_fract_y
_atom_site_fract_z
Pa1 Pa 0.0000 0.0000 0.0000
Pb1 Pb 0.3333 0.6667 0.5648
Au1 Au 0.6667 0.3333 0.2944
```


[4]
PaPbAu2: relaxed, PBE-GGA.

Calculated values
Relative energy among the computed polymorphs (eV/atom): 0.1661

The structure in CIF format:
```
data_PaPbAu2
_symmetry_space_group_name_H-M 'P 4/m m m'
_symmetry_Int_Tables_number 123
_symmetry_space_group_name_Hall '-P 4 2'
_cell_length_a 4.718
_cell_length_b 4.718
_cell_length_c 4.244
_cell_angle_alpha 90.00
_cell_angle_beta 90.00
_cell_angle_gamma 90.00
loop_
_atom_site_label
_atom_site_type_symbol
_atom_site_fract_x
_atom_site_fract_y
_atom_site_fract_z
Pa1 Pa 0.000 0.000 0.000
Pb1 Pb 0.500 0.500 0.000
Au1 Au 0.000 0.500 0.500
```


[5]
PmPaPbAu: relaxed, PBE-GGA.

The structure in CIF format:
```
data_PmPaPbAu
_symmetry_space_group_name_H-M 'F -4 3 m'
_symmetry_Int_Tables_number 216
_symmetry_space_group_name_Hall 'F -4 2 3'
_cell_length_a 7.566
_cell_length_b 7.566
_cell_length_c 7.566
_cell_angle_alpha 90.00
_cell_angle_beta 90.00
_cell_angle_gamma 90.00
loop_
_atom_site_label
_atom_site_type_symbol
_atom_site_fract_x
_atom_site_fract_y
_atom_site_fract_z
Pm1 Pm 0.000 0.000 0.000
Pa1 Pa 0.000 0.000 0.500
Pb1 Pb 0.250 0.250 0.750
Au1 Au 0.250 0.250 0.250
```


[6]
PrPaPbAu: relaxed, PBE-GGA.

The structure in CIF format:
```
data_PrPaPbAu
_symmetry_space_group_name_H-M 'F -4 3 m'
_symmetry_Int_Tables_number 216
_symmetry_space_group_name_Hall 'F -4 2 3'
_cell_length_a 7.618
_cell_length_b 7.618
_cell_length_c 7.618
_cell_angle_alpha 90.00
_cell_angle_beta 90.00
_cell_angle_gamma 90.00
loop_
_atom_site_label
_atom_site_type_symbol
_atom_site_fract_x
_atom_site_fract_y
_atom_site_fract_z
Pr1 Pr 0.000 0.000 0.000
Pa1 Pa 0.000 0.000 0.500
Pb1 Pb 0.250 0.250 0.250
Au1 Au 0.250 0.250 0.750
```


[7]
PuPaPbAu: relaxed, PBE-GGA.

The structure in CIF format:
```
data_PuPaPbAu
_symmetry_space_group_name_H-M 'F -4 3 m'
_symmetry_Int_Tables_number 216
_symmetry_space_group_name_Hall 'F -4 2 3'
_cell_length_a 7.485
_cell_length_b 7.485
_cell_length_c 7.485
_cell_angle_alpha 90.00
_cell_angle_beta 90.00
_cell_angle_gamma 90.00
loop_
_atom_site_label
_atom_site_type_symbol
_atom_site_fract_x
_atom_site_fract_y
_atom_site_fract_z
Pu1 Pu 0.000 0.000 0.000
Pa1 Pa 0.000 0.000 0.500
Pb1 Pb 0.250 0.250 0.750
Au1 Au 0.250 0.250 0.250
```


[8]
ScPaPbAu: relaxed, PBE-GGA.

The structure in CIF format:
```
data_ScPaPbAu
_symmetry_space_group_name_H-M 'F -4 3 m'
_symmetry_Int_Tables_number 216
_symmetry_space_group_name_Hall 'F -4 2 3'
_cell_length_a 7.312
_cell_length_b 7.312
_cell_length_c 7.312
_cell_angle_alpha 90.00
_cell_angle_beta 90.00
_cell_angle_gamma 90.00
loop_
_atom_site_label
_atom_site_type_symbol
_atom_site_fract_x
_atom_site_fract_y
_atom_site_fract_z
Sc1 Sc 0.000 0.000 0.000
Pa1 Pa 0.000 0.000 0.500
Pb1 Pb 0.250 0.250 0.250
Au1 Au 0.250 0.250 0.750
```


[9]
SmPaPbAu: relaxed, PBE-GGA.

The structure in CIF format:
```
data_SmPaPbAu
_symmetry_space_group_name_H-M 'F -4 3 m'
_symmetry_Int_Tables_number 216
_symmetry_space_group_name_Hall 'F -4 2 3'
_cell_length_a 7.548
_cell_length_b 7.548
_cell_length_c 7.548
_cell_angle_alpha 90.00
_cell_angle_beta 90.00
_cell_angle_gamma 90.00
loop_
_atom_site_label
_atom_site_type_symbol
_atom_site_fract_x
_atom_site_fract_y
_atom_site_fract_z
Sm1 Sm 0.000 0.000 0.000
Pa1 Pa 0.000 0.000 0.500
Pb1 Pb 0.250 0.250 0.250
Au1 Au 0.250 0.250 0.750
```


[10]
TbPaPbAu: relaxed, PBE-GGA.

The structure in CIF format:
```
data_TbPaPbAu
_symmetry_space_group_name_H-M 'F -4 3 m'
_symmetry_Int_Tables_number 216
_symmetry_space_group_name_Hall 'F -4 2 3'
_cell_length_a 7.493
_cell_length_b 7.493
_cell_length_c 7.493
_cell_angle_alpha 90.00
_cell_angle_beta 90.00
_cell_angle_gamma 90.00
loop_
_atom_site_label
_atom_site_type_symbol
_atom_site_fract_x
_atom_site_fract_y
_atom_site_fract_z
Tb1 Tb 0.000 0.000 0.000
Pa1 Pa 0.000 0.000 0.500
Pb1 Pb 0.250 0.250 0.250
Au1 Au 0.250 0.250 0.750
```


[11]
ThPaPbAu: relaxed, PBE-GGA.

The structure in CIF format:
```
data_ThPaPbAu
_symmetry_space_group_name_H-M 'F -4 3 m'
_symmetry_Int_Tables_number 216
_symmetry_space_group_name_Hall 'F -4 2 3'
_cell_length_a 7.569
_cell_length_b 7.569
_cell_length_c 7.569
_cell_angle_alpha 90.00
_cell_angle_beta 90.00
_cell_angle_gamma 90.00
loop_
_atom_site_label
_atom_site_type_symbol
_atom_site_fract_x
_atom_site_fract_y
_atom_site_fract_z
Th1 Th 0.000 0.000 0.000
Pa1 Pa 0.000 0.000 0.500
Pb1 Pb 0.250 0.250 0.250
Au1 Au 0.250 0.250 0.750
```


[12]
TmPaPbAu: relaxed, PBE-GGA.

The structure in CIF format:
```
data_TmPaPbAu
_symmetry_space_group_name_H-M 'F -4 3 m'
_symmetry_Int_Tables_number 216
_symmetry_space_group_name_Hall 'F -4 2 3'
_cell_length_a 7.437
_cell_length_b 7.437
_cell_length_c 7.437
_cell_angle_alpha 90.00
_cell_angle_beta 90.00
_cell_angle_gamma 90.00
loop_
_atom_site_label
_atom_site_type_symbol
_atom_site_fract_x
_atom_site_fract_y
_atom_site_fract_z
Tm1 Tm 0.000 0.000 0.000
Pa1 Pa 0.000 0.000 0.500
Pb1 Pb 0.250 0.250 0.750
Au1 Au 0.250 0.250 0.250
```


[13]
PaZnPbAu: relaxed, PBE-GGA.

The structure in CIF format:
```
data_PaZnPbAu
_symmetry_space_group_name_H-M 'F -4 3 m'
_symmetry_Int_Tables_number 216
_symmetry_space_group_name_Hall 'F -4 2 3'
_cell_length_a 7.105
_cell_length_b 7.105
_cell_length_c 7.105
_cell_angle_alpha 90.00
_cell_angle_beta 90.00
_cell_angle_gamma 90.00
loop_
_atom_site_label
_atom_site_type_symbol
_atom_site_fract_x
_atom_site_fract_y
_atom_site_fract_z
Pa1 Pa 0.000 0.000 0.000
Zn1 Zn 0.250 0.250 0.250
Pb1 Pb 0.000 0.000 0.500
Au1 Au 0.250 0.250 0.750
```


[14]
PaPd4Au2: relaxed, PBE-GGA.

Calculated values
Relative energy among the computed polymorphs (eV/atom): 0.0408

The structure in CIF format:
```
data_PaPd4Au2
_symmetry_space_group_name_H-M 'P 1'
_symmetry_Int_Tables_number 1
_symmetry_space_group_name_Hall 'P 1'
_cell_length_a 6.636
_cell_length_b 6.704
_cell_length_c 7.097
_cell_angle_alpha 114.23
_cell_angle_beta 98.21
_cell_angle_gamma 109.13
loop_
_atom_site_label
_atom_site_type_symbol
_atom_site_fract_x
_atom_site_fract_y
_atom_site_fract_z
Pa1 Pa 0.000 0.000 0.000
Pa2 Pa 0.288 0.573 0.675
Pd1 Pd 0.194 0.085 0.462
Pd2 Pd 0.327 0.387 0.944
Pd3 Pd 0.365 0.879 0.110
Pd4 Pd 0.425 0.809 0.470
Pd5 Pd 0.700 0.492 0.767
Pd6 Pd 0.854 0.236 0.335
Pd7 Pd 0.880 0.135 0.687
Pd8 Pd 0.965 0.727 0.575
Au1 Au 0.018 0.526 0.128
Au2 Au 0.498 0.379 0.333
Au3 Au 0.577 0.124 0.915
Au4 Au 0.731 0.759 0.227
```


[15]
PaPd12Au3: relaxed, PBE-GGA.

The structure in CIF format:
```
data_PaPd12Au3
_symmetry_space_group_name_H-M 'P 4/m m m'
_symmetry_Int_Tables_number 123
_symmetry_space_group_name_Hall '-P 4 2'
_cell_length_a 4.074
_cell_length_b 4.074
_cell_length_c 15.903
_cell_angle_alpha 90.00
_cell_angle_beta 90.00
_cell_angle_gamma 90.00
loop_
_atom_site_label
_atom_site_type_symbol
_atom_site_fract_x
_atom_site_fract_y
_atom_site_fract_z
Pa1 Pa 0.000 0.000 0.000
Pd1 Pd 0.000 0.500 0.126
Pd2 Pd 0.000 0.500 0.378
Pd3 Pd 0.500 0.500 0.000
Pd4 Pd 0.500 0.500 0.253
Pd5 Pd 0.500 0.500 0.500
Au1 Au 0.000 0.000 0.255
Au2 Au 0.000 0.000 0.500
```


[16]
Pa2Pd5Au2: relaxed, PBE-GGA.

The structure in CIF format:
```
data_Pa2Pd5Au2
_symmetry_space_group_name_H-M 'I m a 2'
_symmetry_Int_Tables_number 46
_symmetry_space_group_name_Hall 'I 2 -2a'
_cell_length_a 15.286
_cell_length_b 7.737
_cell_length_c 6.191
_cell_angle_alpha 90.00
_cell_angle_beta 90.00
_cell_angle_gamma 90.00
loop_
_atom_site_label
_atom_site_type_symbol
_atom_site_fract_x
_atom_site_fract_y
_atom_site_fract_z
Pa1 Pa 0.121 0.053 0.000
Pd1 Pd 0.001 0.674 0.230
Pd2 Pd 0.162 0.674 0.812
Pd3 Pd 0.250 0.174 0.293
Au1 Au 0.000 0.000 0.358
Au2 Au 0.250 0.520 0.166
```


[17]
Pa2Pd12Au5: relaxed, PBE-GGA.

Calculated values
Relative energy among the computed polymorphs (eV/atom): 0.0000

The structure in CIF format:
```
data_Pa2Pd12Au5
_symmetry_space_group_name_H-M 'C 1 2/m 1'
_symmetry_Int_Tables_number 12
_symmetry_space_group_name_Hall '-C 2y'
_cell_length_a 12.757
_cell_length_b 8.687
_cell_length_c 6.059
_cell_angle_alpha 90.00
_cell_angle_beta 93.07
_cell_angle_gamma 90.00
loop_
_atom_site_label
_atom_site_type_symbol
_atom_site_fract_x
_atom_site_fract_y
_atom_site_fract_z
Pa1 Pa 0.000 0.234 0.000
Pd1 Pd 0.049 0.500 0.293
Pd2 Pd 0.102 0.266 0.612
Pd3 Pd 0.140 0.000 0.891
Pd4 Pd 0.190 0.246 0.194
Au1 Au 0.000 0.000 0.500
Au2 Au 0.159 0.500 0.906
Au3 Au 0.240 0.000 0.497
```


[18]
Pa2Pd8Au: relaxed, PBE-GGA.

The structure in CIF format:
```
data_Pa2Pd8Au
_symmetry_space_group_name_H-M 'C 1 2/m 1'
_symmetry_Int_Tables_number 12
_symmetry_space_group_name_Hall '-C 2y'
_cell_length_a 7.459
_cell_length_b 14.075
_cell_length_c 5.149
_cell_angle_alpha 90.00
_cell_angle_beta 131.09
_cell_angle_gamma 90.00
loop_
_atom_site_label
_atom_site_type_symbol
_atom_site_fract_x
_atom_site_fract_y
_atom_site_fract_z
Pa1 Pa 0.000 0.182 0.000
Pd1 Pd 0.000 0.307 0.500
Pd2 Pd 0.026 0.000 0.272
Pd3 Pd 0.237 0.365 0.227
Au1 Au 0.000 0.500 0.500
```


[19]
PaPd5Au2: relaxed, PBE-GGA.

Calculated values
Relative energy among the computed polymorphs (eV/atom): 0.4972

The structure in CIF format:
```
data_PaPd5Au2
_symmetry_space_group_name_H-M 'C m c m'
_symmetry_Int_Tables_number 63
_symmetry_space_group_name_Hall '-C 2c 2'
_cell_length_a 4.334
_cell_length_b 17.557
_cell_length_c 9.914
_cell_angle_alpha 90.00
_cell_angle_beta 90.00
_cell_angle_gamma 90.00
loop_
_atom_site_label
_atom_site_type_symbol
_atom_site_fract_x
_atom_site_fract_y
_atom_site_fract_z
Pa1 Pa 0.000 0.152 0.250
Pd1 Pd 0.000 0.032 0.118
Pd2 Pd 0.000 0.256 0.750
Pd3 Pd 0.000 0.268 0.074
Au1 Au 0.000 0.125 0.601
```


[20]
PaPd6Au3: relaxed, PBE-GGA.

Calculated values
Relative energy among the computed polymorphs (eV/atom): 0.0000

The structure in CIF format:
```
data_PaPd6Au3
_symmetry_space_group_name_H-M 'P 1 21/m 1'
_symmetry_Int_Tables_number 11
_symmetry_space_group_name_Hall '-P 2yb'
_cell_length_a 8.821
_cell_length_b 4.257
_cell_length_c 9.304
_cell_angle_alpha 90.00
_cell_angle_beta 94.79
_cell_angle_gamma 90.00
loop_
_atom_site_label
_atom_site_type_symbol
_atom_site_fract_x
_atom_site_fract_y
_atom_site_fract_z
Pa1 Pa 0.073 0.250 0.365
Pd1 Pd 0.049 0.750 0.904
Pd2 Pd 0.142 0.250 0.694
Pd3 Pd 0.160 0.750 0.201
Pd4 Pd 0.244 0.750 0.507
Pd5 Pd 0.360 0.250 0.301
Pd6 Pd 0.454 0.750 0.099
Au1 Au 0.252 0.250 0.003
Au2 Au 0.345 0.750 0.807
Au3 Au 0.449 0.250 0.602
```


[21]
PaPd5Au4: relaxed, PBE-GGA.

The structure in CIF format:
```
data_PaPd5Au4
_symmetry_space_group_name_H-M 'P m m n'
_symmetry_Int_Tables_number 59
_cell_length_a 8.653
_cell_length_b 9.041
_cell_length_c 4.856
_cell_angle_alpha 90.00
_cell_angle_beta 90.00
_cell_angle_gamma 90.00
loop_
_symmetry_equiv_pos_as_xyz
'x,y,z'
'-x,-y,-z'
'-x+1/2,-y+1/2,z'
'x+1/2,y+1/2,-z'
'x+1/2,-y,-z'
'-x+1/2,y,z'
'-x,y+1/2,-z'
'x,-y+1/2,z'
loop_
_atom_site_label
_atom_site_type_symbol
_atom_site_fract_x
_atom_site_fract_y
_atom_site_fract_z
Pa1 Pa 0.250 0.250 0.228
Pd1 Pd 0.082 0.004 0.242
Pd2 Pd 0.250 0.750 0.070
Au1 Au 0.080 0.750 0.571
Au2 Au 0.250 0.026 0.742
```


[22]
PaPd4Au: relaxed, PBE-GGA.

Calculated values
Relative energy among the computed polymorphs (eV/atom): 0.1242

The structure in CIF format:
```
data_PaPd4Au
_symmetry_space_group_name_H-M 'P 1 21/m 1'
_symmetry_Int_Tables_number 11
_symmetry_space_group_name_Hall '-P 2yb'
_cell_length_a 5.686
_cell_length_b 5.761
_cell_length_c 6.858
_cell_angle_alpha 90.00
_cell_angle_beta 102.49
_cell_angle_gamma 90.00
loop_
_atom_site_label
_atom_site_type_symbol
_atom_site_fract_x
_atom_site_fract_y
_atom_site_fract_z
Pa1 Pa 0.238 0.250 0.497
Pd1 Pd 0.115 0.250 0.841
Pd2 Pd 0.256 0.750 0.497
Pd3 Pd 0.403 0.003 0.200
Au1 Au 0.170 0.750 0.869
```


[23]
PaPd6Au2: relaxed, PBE-GGA.

Calculated values
Relative energy among the computed polymorphs (eV/atom): 0.0000

The structure in CIF format:
```
data_PaPd6Au2
_symmetry_space_group_name_H-M 'C 1 2/m 1'
_symmetry_Int_Tables_number 12
_symmetry_space_group_name_Hall '-C 2y'
_cell_length_a 11.506
_cell_length_b 4.320
_cell_length_c 8.468
_cell_angle_alpha 90.00
_cell_angle_beta 132.72
_cell_angle_gamma 90.00
loop_
_atom_site_label
_atom_site_type_symbol
_atom_site_fract_x
_atom_site_fract_y
_atom_site_fract_z
Pa1 Pa 0.000 0.000 0.000
Pd1 Pd 0.005 0.000 0.677
Pd2 Pd 0.164 0.500 0.000
Pd3 Pd 0.172 0.500 0.677
Au1 Au 0.171 0.500 0.343
```


| no. | formation energy from the elements (eV/f.u.) | density of states at the Fermi level (states/eV/cell) |
| --- | --- | --- |
| 1 | -0.88 | 5.28 |
| 2 | -1.09 | 20.16 |
| 3 | -0.40 | 0.06 |
| 4 | -0.43 | 6.44 |
| 5 | -0.79 | 34.20 |
| 6 | -0.74 | 33.40 |
| 7 | -0.27 | 49.07 |
| 8 | -0.72 | 35.65 |
| 9 | -0.79 | 34.73 |
| 10 | -0.81 | 34.99 |
| 11 | -0.32 | 38.89 |
| 12 | -0.77 | 34.81 |
| 13 | -0.28 | 14.10 |
| 14 | -2.76 | 7.44 |
| 15 | -4.46 | 16.52 |
| 16 | -3.12 | 23.01 |
| 17 | -7.19 | 16.29 |
| 18 | -4.85 | 13.93 |
| 19 | 0.11 | 12.62 |
| 20 | -3.56 | 7.35 |
| 21 | -2.33 | 9.63 |
| 22 | -2.66 | 6.04 |
| 23 | -4.18 | 7.27 |